CaIn3Pd4 | PBE-GGA | relaxed

```
CaIn3Pd4
1.0
4.6953 0.0000 0.0000
0.0000 6.8117 0.0000
0.0000 0.0000 9.3886
Ca Pd In
2 8 6
Direct
0.0000 0.5000 0.0000
0.0000 0.5000 0.5000
0.5000 0.7685 0.0000
0.5000 0.7685 0.5000
0.5000 0.2315 0.0000
0.5000 0.2315 0.5000
0.0034 0.7685 0.7500
0.9966 0.7685 0.2500
0.9966 0.2315 0.2500
0.0034 0.2315 0.7500
0.0000 0.0000 0.0000
0.0000 0.0000 0.5000
0.5029 0.0000 0.7500
0.4971 0.0000 0.2500
0.5013 0.5000 0.7500
0.4987 0.5000 0.2500
```

Computed properties:
crystal system: orthorhombic
formation energy: -0.5788 eV/atom